# 1
# RbTe PBE relaxed
data_RbTe
_cell_length_a 7.895
_cell_length_b 7.895
_cell_length_c 7.143
_cell_angle_alpha 90.00
_cell_angle_beta 90.00
_cell_angle_gamma 90.00
_symmetry_space_group_name_H-M 'P 42/m n m'
_symmetry_Int_Tables_number 136
_symmetry_space_group_name_Hall '-P 4n 2n'
loop_
_atom_site_label
_atom_site_type_symbol
_atom_site_fract_x
_atom_site_fract_y
_atom_site_fract_z
Rb1 Rb 0.202 0.202 0.000
Te1 Te 0.126 0.126 0.500
# Theoretical density in kg/m³: 3179
# Raw formation energy in eV/atom: -0.76
# Electronic total energy in eV/atom: -2.81

---

# 2
# RbTe PBE relaxed
data_RbTe
_cell_length_a 6.864
_cell_length_b 7.463
_cell_length_c 6.863
_cell_angle_alpha 90.00
_cell_angle_beta 90.00
_cell_angle_gamma 90.00
_symmetry_space_group_name_H-M 'I m m 2'
_symmetry_Int_Tables_number 44
_symmetry_space_group_name_Hall 'I 2 -2'
loop_
_atom_site_label
_atom_site_type_symbol
_atom_site_fract_x
_atom_site_fract_y
_atom_site_fract_z
Rb1 Rb 0.000 0.000 0.000
Rb2 Rb 0.000 0.500 0.004
Te1 Te 0.000 0.310 0.504
# Theoretical density in kg/m³: 4026
# Raw formation energy in eV/atom: -0.78
# Electronic total energy in eV/atom: -2.84

---

# 3
# RbTe5 PBE relaxed
data_RbTe5
_cell_length_a 6.235
_cell_length_b 16.199
_cell_length_c 4.538
_cell_angle_alpha 90.00
_cell_angle_beta 90.00
_cell_angle_gamma 90.00
_symmetry_space_group_name_H-M 'C m m m'
_symmetry_Int_Tables_number 65
_symmetry_space_group_name_Hall '-C 2 2'
loop_
_atom_site_label
_atom_site_type_symbol
_atom_site_fract_x
_atom_site_fract_y
_atom_site_fract_z
Rb1 Rb 0.000 0.000 0.000
Te1 Te 0.000 0.243 0.500
Te2 Te 0.000 0.362 0.000
Te3 Te 0.000 0.500 0.500
# Theoretical density in kg/m³: 5242
# Raw formation energy in eV/atom: -0.26
# Electronic total energy in eV/atom: -3.04

---

# 4
# RbTe PBE relaxed
data_RbTe
_cell_length_a 8.403
_cell_length_b 8.403
_cell_length_c 8.403
_cell_angle_alpha 90.00
_cell_angle_beta 90.00
_cell_angle_gamma 90.00
_symmetry_space_group_name_H-M 'F -4 3 m'
_symmetry_Int_Tables_number 216
_symmetry_space_group_name_Hall 'F -4 2 3'
loop_
_atom_site_label
_atom_site_type_symbol
_atom_site_fract_x
_atom_site_fract_y
_atom_site_fract_z
Rb1 Rb 0.000 0.000 0.000
Te1 Te 0.250 0.250 0.750
# Theoretical density in kg/m³: 2385
# Raw formation energy in eV/atom: -0.25
# Electronic total energy in eV/atom: -2.31

---

# 5
# RbTe PBE relaxed
data_RbTe
_cell_length_a 7.490
_cell_length_b 7.490
_cell_length_c 7.490
_cell_angle_alpha 90.00
_cell_angle_beta 90.00
_cell_angle_gamma 90.00
_symmetry_space_group_name_H-M 'F m -3 m'
_symmetry_Int_Tables_number 225
_symmetry_space_group_name_Hall '-F 4 2 3'
loop_
_atom_site_label
_atom_site_type_symbol
_atom_site_fract_x
_atom_site_fract_y
_atom_site_fract_z
Rb1 Rb 0.000 0.000 0.000
Te1 Te 0.000 0.000 0.500
# Theoretical density in kg/m³: 3368
# Raw formation energy in eV/atom: -0.40
# Electronic total energy in eV/atom: -2.46

---

# 6
# RbTe PBE relaxed
data_RbTe
_cell_length_a 8.175
_cell_length_b 10.519
_cell_length_c 5.750
_cell_angle_alpha 90.00
_cell_angle_beta 128.52
_cell_angle_gamma 90.00
_symmetry_space_group_name_H-M 'C 1 2/m 1'
_symmetry_Int_Tables_number 12
_symmetry_space_group_name_Hall '-C 2y'
loop_
_atom_site_label
_atom_site_type_symbol
_atom_site_fract_x
_atom_site_fract_y
_atom_site_fract_z
Rb1 Rb 0.000 0.190 0.000
Te1 Te 0.224 0.000 0.678
# Theoretical density in kg/m³: 3658
# Raw formation energy in eV/atom: -0.81
# Electronic total energy in eV/atom: -2.87

---

# 7
# RbThTe3 PBE relaxed
data_RbThTe3
_cell_length_a 19.618
_cell_length_b 4.643
_cell_length_c 11.170
_cell_angle_alpha 90.00
_cell_angle_beta 115.57
_cell_angle_gamma 90.00
_symmetry_space_group_name_H-M 'C 1 2/m 1'
_symmetry_Int_Tables_number 12
_symmetry_space_group_name_Hall '-C 2y'
loop_
_atom_site_label
_atom_site_type_symbol
_atom_site_fract_x
_atom_site_fract_y
_atom_site_fract_z
Rb1 Rb 0.114 0.000 0.298
Th1 Th 0.185 0.500 0.803
Te1 Te 0.009 0.500 0.630
Te2 Te 0.148 0.000 0.965
Te3 Te 0.227 0.000 0.664
# Theoretical density in kg/m³: 5068
# Raw formation energy in eV/atom: -1.04
# Relative energy among the computed polymorphs in eV per formula unit: 0.00
# Electronic total energy in eV/atom: -4.60

---

# 8
# Rb2Th2Te5 PBE relaxed
data_Rb2Th2Te5
_cell_length_a 17.906
_cell_length_b 8.774
_cell_length_c 8.785
_cell_angle_alpha 90.00
_cell_angle_beta 90.00
_cell_angle_gamma 90.00
_symmetry_space_group_name_H-M 'C m c e'
_symmetry_Int_Tables_number 64
_symmetry_space_group_name_Hall '-C 2ac 2'
loop_
_atom_site_label
_atom_site_type_symbol
_atom_site_fract_x
_atom_site_fract_y
_atom_site_fract_z
Rb1 Rb 0.204 0.000 0.000
Th1 Th 0.000 0.160 0.340
Te1 Te 0.000 0.000 0.000
Te2 Te 0.112 0.144 0.644
# Theoretical density in kg/m³: 6126
# Raw formation energy in eV/atom: -1.23
# Electronic total energy in eV/atom: -4.84